A plane-wave DFT calculation with PBE was carried out for MnPPt after structural relaxation.

Cell and atoms, written as CIF:
```
data_MnPPt
_cell_length_a 3.486
_cell_length_b 3.486
_cell_length_c 7.255
_cell_angle_alpha 90.00
_cell_angle_beta 90.00
_cell_angle_gamma 90.00
_space_group_name_H-M_alt 'I 4 m m'
_space_group_IT_number 107
_space_group_name_Hall 'I 4 -2'
loop_
_atom_site_label
_atom_site_type_symbol
_atom_site_fract_x
_atom_site_fract_y
_atom_site_fract_z
Mn1 Mn 0.000 0.000 0.000
P1 P 0.000 0.000 0.684
Pt1 Pt 0.000 0.000 0.354
```

## Properties
Magnetization ... 1.13 μB per atom
Energy relative to the elements ... -14 kJ per mole of atoms